1.
First-principles (PBE) data for crystalline PrThTlIr at its relaxed geometry, as listed in Alexandria.

a = 4.115 Å, b = 4.114 Å, c = 8.669 Å
α = 89.95°, β = 103.67°, γ = 120.01°
Element x y z (fractional)
1 Pr 0.506 0.151 0.671
2 Th 0.095 0.945 0.057
3 Tl 0.966 0.381 0.363
4 Ir 0.310 0.553 0.879

---

2.
First-principles (PBE) data for crystalline TaNbAg at its relaxed geometry, as listed in Alexandria.

a = 3.368 Å, b = 3.368 Å, c = 9.584 Å
α = 90.00°, β = 90.00°, γ = 90.00°
Element x y z (fractional)
1 Ag 0.000 0.500 0.580
2 Ag 0.500 0.000 0.420
3 Nb 0.000 0.500 0.249
4 Nb 0.500 0.000 0.751
5 Ta 0.500 0.000 0.084
6 Ta 0.000 0.500 0.916

Properties
E above lowest polymorph = 13 meV per atom

---

Number 1: theoretical density 10.450 g cm⁻³, DFT formation energy -0.520 eV per atom. Number 2: theoretical density 11.660 g cm⁻³, DFT formation energy 0.127 eV per atom.